Below is a relaxed VZnNO2 crystal, with properties calculated at the PBE with a Hubbard U level.

Cell lengths 3.754, 3.754, 3.813 Å; angles 90.00, 90.00, 90.00 degrees
Sites, in units of the cell vectors:
O (0.000, 0.500, 0.000)
N (0.000, 0.000, 0.500)
Zn (0.000, 0.000, 0.000)
V (0.500, 0.500, 0.500)
O (0.500, 0.000, 0.000)

Summary:
Energy (eV per atom): -4.76
Space group: P4/mmm (123)
Total magnetic moment (Bohr magnetons per cell): 0.02